1.
Computed, not measured: a crystal of YSiW4 relaxed with PBEsol at the SCAN level of DFT.

Cell lengths 7.5328, 7.5328, 7.5328 Å; angles 90.00, 90.00, 90.00 degrees
Closest atoms and distances in Å follow each position.
Space group F-43m (No. 216)
Asymmetric unit:
Y 0.0000 0.0000 0.0000  12 W 3.12, 4 Si 3.26
Si 0.2500 0.2500 0.2500  12 W 3.12, 4 Y 3.26
W 0.1246 0.1246 0.6246  6 W 2.65-2.67

ΔE_f (raw): 0.49 eV per atom
DOS at the Fermi energy: 18.46 states/eV/cell

***

2.
Computed, not measured: a crystal of Er3Ni7B2 relaxed with PBEsol at the SCAN level of DFT.

Cell lengths 4.9648, 4.9648, 14.0852 Å; angles 90.00, 90.00, 120.00 degrees
Closest atoms and distances in Å follow each position.
Space group P6_3/mmc (No. 194)
Asymmetric unit:
Er 0.3333 0.6667 0.0327  12 Ni 2.90-2.96, 4 Er 3.01-3.06
Er 0.3333 0.6667 0.2500  6 B 2.87, 12 Ni 2.87, 2 Er 3.06
Ni 0.0000 0.0000 0.0000  6 Ni 2.52
Ni 0.1657 0.3314 0.6475  2 B 2.03-2.04
B 0.0000 0.0000 0.2500  6 Ni 2.03
B 0.3333 0.6667 0.7500  6 Ni 2.04

Energy of formation from the pure elements: -673.1 kJ/mol of formula units
DOS at the Fermi energy: 9.34 states/eV/cell